Computed, not measured: crystalline Al2MoIr at its relaxed geometry at the GGA-PBE level of DFT.

```
Al2MoIr
1.0
2.8503 0.0000 0.0000
-1.4251 2.4684 0.0000
0.0000 0.0000 26.2021
Al Mo Ir
6 3 3
Direct
0.0000 0.0000 0.0000
0.0000 0.0000 0.2450
0.3333 0.6667 0.6667
0.3333 0.6667 0.9117
0.6667 0.3333 0.3333
0.6667 0.3333 0.5783
0.0000 0.0000 0.4935
0.3333 0.6667 0.1602
0.6667 0.3333 0.8268
0.0000 0.0000 0.7453
0.3333 0.6667 0.4120
0.6667 0.3333 0.0786
```

**Fermi-level density of states**: 6.30 states/eV/cell
**Total moment**: 0.000 μB per atom
**Energy relative to the lowest polymorph listed for this composition**: 227 meV per atom
**E_tot**: -84.760 eV/cell